Crystalline YSbPb at its relaxed geometry, computed with PBE.

Fermi-level density of states: 2.88 states/eV/cell
SG: I4/mmm, No. 139
raw total energy: -5.252 eV/atom
E_form (uncorrected): -0.487 eV/atom

The structure in POSCAR format:
```
YSbPb
1.0
4.123 0.000 0.000
0.000 4.123 0.000
-2.062 -2.062 10.992
Sb Y Pb
2 2 2
Direct
0.068 0.068 0.136
0.932 0.932 0.864
0.619 0.619 0.238
0.381 0.381 0.762
0.784 0.784 0.568
0.216 0.216 0.432
```